1.
# PuHgF2

A geometry-optimized PuHgF2 structure (PBE, Alexandria).

Unit cell a=8.5040 b=8.5040 c=8.5040 alpha=26.62 beta=26.62 gamma=26.62
Closest atoms and distances in Å follow each position.
Fractional coordinates of all 4 atoms:
Pu: 0.0000 0.0000 0.0000  6 F 2.42
Hg: 0.5000 0.5000 0.5000  2 F 3.24
F: 0.3684 0.3684 0.3684  3 Pu 2.42
F: 0.6316 0.6316 0.6316  3 Pu 2.42

ρ   7.4 Mg/m³
Uncorrected formation energy   -8.818 eV per formula unit
Volume   108.83 Å³/cell
D(E_F)   5.8 states/eV per cell

***

2.
# Cu3AuN

A geometry-optimized Cu3AuN structure (PBE, Alexandria).

Unit cell a=4.7092 b=4.7092 c=4.7092 alpha=90.00 beta=90.00 gamma=90.00
Closest atoms and distances in Å follow each position.
Fractional coordinates of all 5 atoms:
Cu: 0.0000 0.0000 0.5000  2 Au 2.35
Cu: 0.0000 0.5000 0.0000  2 Au 2.35
Cu: 0.5000 0.0000 0.0000  2 Au 2.35
Au: 0.0000 0.0000 0.0000  6 Cu 2.35
N: 0.5000 0.5000 0.5000  12 Cu 3.33

ρ   6.4 Mg/m³
Uncorrected formation energy   9.844 eV per formula unit
Offset from the most stable computed form   1770.3 meV/atom
Volume   104.43 Å³/cell
D(E_F)   5.3 states/eV per cell